# Sr3Fe2IrO9 PBE+U optimized geometry
# Calculated total energy in eV per atom: -6.53
# Magnetic moment in μB per cell: 12.40
data_Sr3Fe2IrO9
_chemical_formula_sum 'Sr3 Fe2 Ir1 O9'
_space_group_name_H-M_alt 'P -3 m 1'
_space_group_IT_number 164
_space_group_name_Hall '-P 3 2"'
_cell_length_a 5.6290
_cell_length_b 5.6290
_cell_length_c 6.9101
_cell_angle_alpha 90.00
_cell_angle_beta 90.00
_cell_angle_gamma 120.00
loop_
_atom_site_label
_atom_site_type_symbol
_atom_site_fract_x
_atom_site_fract_y
_atom_site_fract_z
_atom_site_occupancy
Sr1 Sr 0.0000 0.0000 0.0000 1
Sr2 Sr 0.3333 0.6667 0.6791 1
Fe1 Fe 0.3333 0.6667 0.1563 1
Ir1 Ir 0.0000 0.0000 0.5000 1
O1 O 0.0000 0.5000 0.0000 1
O2 O 0.1644 0.3287 0.3378 1